No. 1
This record from Alexandria via LeMat-Bulk describes crystalline Mg6CoBO8 at its relaxed geometry. The functional is PBE+U.

Values from the calculation:
E (eV per atom): -5.970
Polymorph energy (0 for the lowest one) (eV per atom): 0.0000
Space-group type: P4/mmm (123)

abc: 4.2489 4.2489 8.3923
angles: 90.00 90.00 90.00
With the nearest neighbours (Å) after each atom.
Fractional coordinates of all 16 atoms:
1 Mg 0.0000 0.0000 0.0000  6 O 2.11-2.12
2 Mg 0.0000 0.0000 0.5000  6 O 2.09-2.12
3 Mg 0.0000 0.5000 0.2409  6 O 2.02-2.21
4 Mg 0.0000 0.5000 0.7591  6 O 2.02-2.21
5 Mg 0.5000 0.0000 0.2409  6 O 2.02-2.21
6 Mg 0.5000 0.0000 0.7591  6 O 2.02-2.21
7 Co 0.5000 0.5000 0.5000  4 O 2.12
8 B 0.5000 0.5000 0.0000  2 O 1.42
9 O 0.0000 0.0000 0.2514  6 Mg 2.09-2.13
10 O 0.0000 0.0000 0.7486  6 Mg 2.09-2.13
11 O 0.0000 0.5000 0.0000  4 Mg 2.02-2.12, 2 B 2.12
12 O 0.0000 0.5000 0.5000  2 Co 2.12, 4 Mg 2.12-2.17
13 O 0.5000 0.0000 0.0000  4 Mg 2.02-2.12, 2 B 2.12
14 O 0.5000 0.0000 0.5000  2 Co 2.12, 4 Mg 2.12-2.17
15 O 0.5000 0.5000 0.1693  1 B 1.42
16 O 0.5000 0.5000 0.8307  1 B 1.42

No. 2
This record from Alexandria via LeMat-Bulk describes crystalline Mg6CoBO8 at its relaxed geometry. The functional is PBE+U.

Values from the calculation:
E (eV per atom): -5.873
Polymorph energy (0 for the lowest one) (eV per atom): 0.0963
Space-group type: P4/mmm (123)

abc: 4.2706 4.2706 8.5148
angles: 90.00 90.00 90.00
With the nearest neighbours (Å) after each atom.
Fractional coordinates of all 16 atoms:
1 Mg 0.0000 0.0000 0.0000  6 O 2.04-2.14
2 Mg 0.0000 0.5000 0.2704  3 O 1.96-2.15
3 Mg 0.0000 0.5000 0.7296  3 O 1.96-2.15
4 Mg 0.5000 0.0000 0.2704  3 O 1.96-2.15
5 Mg 0.5000 0.0000 0.7296  3 O 1.96-2.15
6 Mg 0.5000 0.5000 0.0000  4 O 2.14
7 Co 0.0000 0.0000 0.5000  6 O 2.14-2.22
8 B 0.5000 0.5000 0.5000  2 O 1.46
9 O 0.0000 0.0000 0.2391  5 Mg 2.04-2.15, 1 Co 2.22
10 O 0.0000 0.0000 0.7609  5 Mg 2.04-2.15, 1 Co 2.22
11 O 0.0000 0.5000 0.0000  6 Mg 2.14-2.30
12 O 0.0000 0.5000 0.5000  2 Mg 1.96, 2 Co 2.14, 2 B 2.14
13 O 0.5000 0.0000 0.0000  6 Mg 2.14-2.30
14 O 0.5000 0.0000 0.5000  2 Mg 1.96, 2 Co 2.14, 2 B 2.14
15 O 0.5000 0.5000 0.3282  1 B 1.46
16 O 0.5000 0.5000 0.6718  1 B 1.46

No. 3
This record from Alexandria via LeMat-Bulk describes crystalline MgCoBO4 at its relaxed geometry. The functional is PBE+U.

Values from the calculation:
E (eV per atom): -6.672
Space-group type: Cmcm (63)

abc: 4.9191 4.9191 5.8395
angles: 90.00 90.00 113.35
With the nearest neighbours (Å) after each atom.
Fractional coordinates of all 14 atoms:
1 Mg 0.0000 0.0000 0.0000  6 O 2.11
2 Mg 0.0000 0.0000 0.5000  6 O 2.11
3 Co 0.3396 0.6604 0.7500  4 O 1.85-1.95
4 Co 0.6604 0.3396 0.2500  4 O 1.85-1.95
5 B 0.3579 0.6421 0.2500  4 O 1.48-1.52
6 B 0.6421 0.3579 0.7500  4 O 1.48-1.52
7 O 0.2512 0.3059 0.2500  1 B 1.52
8 O 0.2546 0.7454 0.0433  1 B 1.48
9 O 0.2546 0.7454 0.4567  1 B 1.48
10 O 0.3059 0.2512 0.7500  1 B 1.52
11 O 0.6941 0.7488 0.2500  1 B 1.52
12 O 0.7454 0.2546 0.5433  1 B 1.48
13 O 0.7454 0.2546 0.9567  1 B 1.48
14 O 0.7488 0.6941 0.7500  1 B 1.52

> The highest E belongs to which entry?

number 2